12
Lattice="5.3195 0.0000 0.0000 -2.6598 4.6068 0.0000 0.0000 0.0000 7.4638" Properties=species:S:1:pos:R:3 comment="AcYP2O8 (GGA-PBE, relaxed)" magmom_total_mub_per_atom=0.000 total_energy_ry_per_atom=-0.5925 pbc="T T T"
O 2.6627 2.9970 2.1629
O 3.9239 0.8023 2.1629
O 2.6597 1.5356 0.1027
O -0.0030 1.6098 5.3008
O 1.2671 3.7993 5.3008
O 0.0000 3.0712 7.3610
O 1.3926 0.8075 2.1629
O -1.2641 3.8045 5.3008
P 0.0000 3.0712 5.8241
P 2.6597 1.5356 1.6397
Y 0.0000 0.0000 3.7319
Ac 0.0000 0.0000 0.0000